A relaxed structure of CoH2SF. Source: Alexandria via LeMat-Bulk, functional PBE+U.

Structure (POSCAR):
```
CoH2SF
1.0
3.781 0.000 0.000
0.000 3.809 0.000
0.000 0.000 3.781
F H S Co
1 2 1 1
Direct
0.000 0.500 0.000 F
0.500 0.000 0.000 H
0.000 0.000 0.500 H
0.500 0.500 0.500 S
0.000 0.000 0.000 Co
```

Summary:
As for the electronic total energy: -3.07 eV/atom. The calculation puts the mass density at 3.416 g/cm3. Its crystal system is tetragonal. The spin magnetization comes out at 1.49 μB/f.u. For the density of states at the Fermi level, the calculation gives 2.0 states/eV per cell.